Record 1
PrSm12Y2 | PBE | optimized geometry

a = 6.792 Å, b = 6.792 Å, c = 24.929 Å
α = 90.00°, β = 90.00°, γ = 116.27°
Fractional positions:
Sm (0.000, 0.000, 0.326)
Sm (0.772, 0.728, 0.440)
Sm (0.000, 0.000, 0.201)
Y (0.500, 0.000, 0.728)
Pr (0.000, 0.500, 0.001)
Y (0.500, 0.000, 0.267)
Sm (0.768, 0.268, 0.585)
Sm (0.000, 0.000, 0.799)
Sm (0.753, 0.747, 0.922)
Sm (0.500, 0.500, 0.326)
Sm (0.232, 0.732, 0.585)
Sm (0.728, 0.772, 0.560)
Sm (0.272, 0.228, 0.560)
Sm (0.732, 0.232, 0.415)
Sm (0.747, 0.753, 0.078)
Sm (0.248, 0.748, 0.131)
Sm (0.752, 0.252, 0.131)
Sm (0.252, 0.752, 0.869)
Sm (0.268, 0.768, 0.415)
Sm (0.500, 0.500, 0.674)
Y (0.000, 0.500, 0.733)
Sm (0.500, 0.500, 0.201)
Sm (0.247, 0.253, 0.922)
Sm (0.253, 0.247, 0.078)
Pr (0.500, 0.000, 0.999)
Sm (0.500, 0.500, 0.799)
Sm (0.000, 0.000, 0.674)
Y (0.000, 0.500, 0.272)
Sm (0.748, 0.248, 0.869)
Sm (0.228, 0.272, 0.440)

Magnetic moment (Bohr magnetons per cell): 0.00
DFT formation energy (meV/atom): 154
SG: No. 67
D(E_F) (states/eV per atom): 1.521

Record 2
NpZn2Hg | PBE | optimized geometry

a = 4.861 Å, b = 4.861 Å, c = 4.861 Å
α = 60.00°, β = 60.00°, γ = 60.00°
Site moments in Bohr magnetons follow the coordinates.
Fractional positions:
Hg (0.500, 0.500, 0.500)  0.00
Zn (0.750, 0.750, 0.750)  0.04
Zn (0.250, 0.250, 0.250)  0.04
Np (0.000, 0.000, 0.000)  3.97

Energy relative to the lowest polymorph listed for this composition (kJ/mol of formula units): 0.0
Magnetic moment (Bohr magnetons per cell): 4.31
DFT formation energy (meV/atom): 162
SG: No. 225
D(E_F) (states/eV per atom): 2.532

Record 3
Rb4Nd3CrS8 | PBE | optimized geometry

a = 8.204 Å, b = 9.029 Å, c = 8.204 Å
α = 117.03°, β = 120.00°, γ = 90.00°
Site moments in Bohr magnetons follow the coordinates.
Fractional positions:
S (0.214, 0.686, 0.428)  -0.03
S (0.786, 0.314, 0.572)  -0.03
Nd (0.500, 0.500, 0.000)  0.01
Cr (0.000, 0.500, 0.000)  3.00
Nd (0.500, 0.500, 0.500)  0.01
S (0.786, 0.314, 0.028)  -0.03
S (0.242, 0.314, 0.028)  -0.03
Rb (0.000, 0.000, 0.500)  0.00
Rb (0.500, 0.000, 0.000)  0.00
Nd (0.000, 0.500, 0.500)  0.01
Rb (0.500, 0.000, 0.500)  0.00
S (0.734, 0.702, 0.468)  0.00
S (0.758, 0.686, 0.972)  -0.03
S (0.214, 0.686, 0.972)  -0.03
S (0.266, 0.298, 0.532)  0.00
Rb (0.000, 0.000, 0.000)  0.00

Magnetic moment (Bohr magnetons per cell): 3.00
Formation energy from raw total energies (meV per atom): -1518
SG: No. 166

Record 4
Tb3Nd6SmDy2 | PBE | optimized geometry

a = 6.290 Å, b = 6.290 Å, c = 11.934 Å
α = 95.03°, β = 95.03°, γ = 120.00°
Fractional positions:
Nd (0.084, 0.418, 0.250)
Nd (0.250, 0.250, 0.750)
Dy (0.667, 0.333, 0.000)
Nd (0.750, 0.750, 0.250)
Dy (0.333, 0.667, 0.000)
Tb (0.167, 0.833, 0.500)
Nd (0.582, 0.916, 0.750)
Nd (0.418, 0.084, 0.250)
Tb (0.500, 0.500, 0.500)
Sm (0.000, 0.000, 0.000)
Nd (0.916, 0.582, 0.750)
Tb (0.833, 0.167, 0.500)

Magnetic moment (Bohr magnetons per cell): 0.00
DFT formation energy (meV/atom): 11
SG: No. 12
D(E_F) (states/eV per atom): 1.227

Q: Among the records above, which one has the highest magnetic moment?
A: NpZn2Hg

Q: The highest magnetic moment belongs to which entry?
A: NpZn2Hg

Q: Number 2 is which compound?
A: NpZn2Hg